Material: MnIrOs2Pb
Method: DFT, PBE
State: optimized geometry

Computed properties:
Crystal system: tetragonal
DOS(E_F): 2.496 states/eV per atom
Formation enthalpy at 0 K: 3.351 eV per atom

Cell lengths 4.936, 4.880, 4.936 Å; angles 90.00, 90.00, 90.00 degrees
Sites, in units of the cell vectors:
Os  0.000  0.000  0.500
Os  0.500  0.000  0.000
Ir  0.000  0.500  0.000
Pb  0.000  0.000  0.000
Mn  0.500  0.500  0.500

Material: Ac2PmSmO6
Method: DFT, PBE
State: optimized geometry

Computed properties:
Crystal system: monoclinic
DOS(E_F): 0.000 states/eV per atom
Raw total energy: -8.083 eV/atom

Cell lengths 6.133, 6.334, 8.897 Å; angles 90.00, 90.03, 90.00 degrees
Sites, in units of the cell vectors:
Sm  0.500  0.000  0.500
Sm  0.000  0.500  0.000
O  0.195  0.195  0.429
O  0.193  0.196  0.071
O  0.695  0.305  0.929
O  0.131  0.437  0.751
O  0.869  0.563  0.249
O  0.305  0.695  0.071
O  0.369  0.937  0.749
O  0.805  0.805  0.571
O  0.693  0.304  0.571
O  0.631  0.063  0.251
O  0.307  0.696  0.429
O  0.807  0.804  0.929
Ac  0.016  0.952  0.250
Ac  0.516  0.548  0.750
Ac  0.484  0.452  0.250
Ac  0.984  0.048  0.750
Pm  0.000  0.500  0.500
Pm  0.500  0.000  0.000

Material: CsNdPdF6
Method: DFT, PBE
State: optimized geometry

Computed properties:
Crystal system: orthorhombic
DOS(E_F): 0.061 states/eV per atom
Raw total energy: -5.200 eV/atom

Cell lengths 8.558, 8.302, 8.244 Å; angles 120.23, 121.27, 90.00 degrees
Sites, in units of the cell vectors:
Cs  0.796  0.546  0.593
Cs  0.204  0.454  0.407
F  0.183  0.897  0.727
F  0.817  0.670  0.273
F  0.828  0.078  0.657
F  0.456  0.670  0.273
F  0.817  0.103  0.273
F  0.465  0.715  0.929
F  0.172  0.922  0.343
F  0.544  0.897  0.727
F  0.535  0.285  0.071
F  0.544  0.330  0.727
F  0.183  0.330  0.727
F  0.456  0.103  0.273
Nd  0.000  0.000  0.500
Nd  0.500  0.000  0.500
Pd  0.500  0.000  0.000
Pd  0.500  0.500  0.000

Material: SrZr4SnO12
Method: DFT, PBE
State: optimized geometry

Computed properties:
Crystal system: orthorhombic
DOS(E_F): 0.205 states/eV per atom
Raw total energy: -8.117 eV/atom

Cell lengths 5.655, 5.655, 8.425 Å; angles 90.00, 90.00, 91.61 degrees
Sites, in units of the cell vectors:
O  0.810  0.195  0.715
O  0.195  0.810  0.285
O  0.449  0.898  0.000
O  0.195  0.810  0.715
O  0.478  0.027  0.500
O  0.898  0.449  0.000
O  0.027  0.478  0.500
O  0.350  0.350  0.165
O  0.350  0.350  0.835
O  0.711  0.711  0.229
O  0.810  0.195  0.285
O  0.711  0.711  0.771
Zr  0.016  0.491  0.757
Zr  0.491  0.016  0.757
Zr  0.491  0.016  0.243
Zr  0.016  0.491  0.243
Sr  0.946  0.946  0.500
Sn  0.556  0.556  0.000

Material: LiCd2Pd
Method: DFT, PBE
State: optimized geometry

Computed properties:
Crystal system: tetragonal
DOS(E_F): 0.404 states/eV per atom
Formation enthalpy at 0 K: -0.364 eV per atom

Cell lengths 3.812, 4.295, 4.295 Å; angles 90.00, 90.00, 90.00 degrees
Sites, in units of the cell vectors:
Pd  0.500  0.500  0.500
Li  0.500  0.000  0.000
Cd  0.000  0.000  0.500
Cd  0.000  0.500  0.000

Material: Zr2Fe3Si4
Method: DFT, PBE
State: optimized geometry

Computed properties:
Crystal system: orthorhombic
DOS(E_F): 0.654 states/eV per atom
Raw total energy: -7.796 eV/atom

Cell lengths 5.204, 6.829, 7.444 Å; angles 90.00, 110.46, 90.00 degrees
Sites, in units of the cell vectors:
Si  0.177  0.980  0.355
Si  0.811  0.250  0.122
Si  0.189  0.750  0.878
Si  0.689  0.750  0.878
Si  0.311  0.250  0.122
Si  0.323  0.480  0.645
Si  0.823  0.020  0.645
Si  0.677  0.520  0.355
Zr  0.394  0.099  0.788
Zr  0.894  0.401  0.788
Zr  0.606  0.901  0.212
Zr  0.106  0.599  0.212
Fe  0.020  0.750  0.540
Fe  0.500  0.500  0.000
Fe  0.520  0.750  0.540
Fe  0.480  0.250  0.460
Fe  0.000  0.000  0.000
Fe  0.980  0.250  0.460

Material: Zr2Al3C4
Method: DFT, PBE
State: optimized geometry

Computed properties:
Crystal system: hexagonal
DOS(E_F): 0.141 states/eV per atom
Formation enthalpy at 0 K: -0.456 eV per atom

Cell lengths 3.363, 3.363, 22.337 Å; angles 90.00, 90.00, 120.00 degrees
Sites, in units of the cell vectors:
Zr  0.333  0.667  0.059
Zr  0.667  0.333  0.559
Zr  0.667  0.333  0.941
Zr  0.333  0.667  0.441
Al  0.000  0.000  0.841
Al  0.333  0.667  0.750
Al  0.000  0.000  0.659
Al  0.000  0.000  0.341
Al  0.667  0.333  0.250
Al  0.000  0.000  0.159
C  0.000  0.000  0.500
C  0.667  0.333  0.371
C  0.000  0.000  0.250
C  0.333  0.667  0.871
C  0.000  0.000  0.000
C  0.333  0.667  0.629
C  0.000  0.000  0.750
C  0.667  0.333  0.129

Material: TaNiIr
Method: DFT, PBE
State: optimized geometry

Computed properties:
Crystal system: trigonal
DOS(E_F): 0.556 states/eV per atom
Formation enthalpy at 0 K: -0.091 eV per atom

Cell lengths 2.798, 2.798, 6.541 Å; angles 90.00, 90.00, 120.00 degrees
Sites, in units of the cell vectors:
Ni  0.667  0.333  0.335
Ir  0.000  0.000  0.004
Ta  0.333  0.667  0.661

Material: RbLaB12
Method: DFT, PBE
State: optimized geometry

Computed properties:
Crystal system: cubic
DOS(E_F): 0.090 states/eV per atom
Formation enthalpy at 0 K: -0.327 eV per atom

Cell lengths 5.960, 5.960, 5.960 Å; angles 60.00, 60.00, 60.00 degrees
Sites, in units of the cell vectors:
B  0.398  0.102  0.102
B  0.898  0.602  0.898
B  0.102  0.398  0.398
B  0.898  0.898  0.602
B  0.398  0.398  0.102
B  0.602  0.898  0.898
B  0.602  0.602  0.898
B  0.102  0.398  0.102
B  0.102  0.102  0.398
B  0.602  0.898  0.602
B  0.398  0.102  0.398
B  0.898  0.602  0.602
Rb  0.500  0.500  0.500
La  0.000  0.000  0.000

Material: Tb5PrAs6
Method: DFT, PBE
State: optimized geometry

Computed properties:
Crystal system: monoclinic
DOS(E_F): 0.146 states/eV per atom
Formation enthalpy at 0 K: -1.528 eV per atom

Cell lengths 7.219, 7.219, 7.220 Å; angles 99.59, 99.59, 119.99 degrees
Sites, in units of the cell vectors:
Tb  0.165  0.835  0.500
Tb  0.500  0.500  0.500
Tb  0.835  0.165  0.500
Tb  0.667  0.333  0.000
Tb  0.333  0.667  0.000
Pr  0.000  0.000  0.000
As  0.255  0.255  0.747
As  0.915  0.577  0.746
As  0.423  0.085  0.254
As  0.085  0.423  0.254
As  0.745  0.745  0.253
As  0.577  0.915  0.746

Material: In7Bi2
Method: DFT, PBE
State: optimized geometry

Computed properties:
Crystal system: trigonal
DOS(E_F): 0.516 states/eV per atom
Formation enthalpy at 0 K: 0.047 eV per atom

Cell lengths 5.795, 5.795, 8.922 Å; angles 90.00, 90.00, 120.00 degrees
Sites, in units of the cell vectors:
In  0.666  0.666  0.665
In  0.334  0.334  0.335
In  0.334  0.000  0.665
In  0.666  0.000  0.335
In  0.000  0.000  0.000
In  0.000  0.666  0.335
In  0.000  0.334  0.665
Bi  0.667  0.333  0.000
Bi  0.333  0.667  0.000

Material: Cs2RuPbI6
Method: DFT, PBE
State: optimized geometry

Computed properties:
Crystal system: cubic
DOS(E_F): 0.000 states/eV per atom
Raw total energy: -3.100 eV/atom

Cell lengths 8.405, 8.405, 8.403 Å; angles 59.99, 59.99, 90.00 degrees
Sites, in units of the cell vectors:
Pb  0.000  0.000  0.000
I  0.269  0.731  0.000
I  0.269  0.269  0.000
I  0.269  0.269  0.462
I  0.731  0.269  0.000
I  0.731  0.731  0.000
I  0.731  0.731  0.538
Ru  0.500  0.500  0.000
Cs  0.750  0.250  0.500
Cs  0.250  0.750  0.500